This record from the Alexandria database describes PrZr2Os after structural relaxation. The functional is PBE.

Unit cell a=3.330 b=3.330 c=8.196 alpha=90.00 beta=90.00 gamma=90.00
Space group P4/mmm (No. 123)
Inequivalent atoms, fractional coordinates:
Pr 0.000 0.000 0.000 (multiplicity 1)
Zr 0.500 0.500 0.306 (multiplicity 2)
Os 0.000 0.000 0.500 (multiplicity 1)

Values from the calculation:
ρ = 9.38 g cm⁻³

***

This record from the Alexandria database describes Os2Pt after structural relaxation. The functional is PBE.

Unit cell a=2.742 b=2.742 c=11.803 alpha=90.00 beta=90.00 gamma=90.00
Space group I4/mmm (No. 139)
Inequivalent atoms, fractional coordinates:
Os 0.000 0.000 0.175 (multiplicity 4)
Pt 0.000 0.000 0.500 (multiplicity 2)

Values from the calculation:
energy relative to the lowest polymorph listed for this composition = 0.0253 eV per atom
ρ = 21.54 g cm⁻³

***

Let's list energy in order: -8.398; -9.425 eV/atom.
Let's list ΔE_f in order: -122; 75 meV per atom.